1.
The following is a PBE calculation of crystalline AgBRh2 at its relaxed geometry, from Alexandria via LeMat-Bulk.

## Properties
As for the total magnetization: 0.000 μB/atom. The calculation puts the formation energy at 0.06 eV per atom. The density of states at the Fermi level comes out at 0.33 states/eV per atom.

```
data_AgBRh2
_cell_length_a 6.605
_cell_length_b 6.605
_cell_length_c 5.065
_cell_angle_alpha 90.00
_cell_angle_beta 90.00
_cell_angle_gamma 90.00
_symmetry_space_group_name_H-M 'I -4 2 d'
_symmetry_Int_Tables_number 122
_symmetry_space_group_name_Hall 'I -4 2bw'
loop_
_atom_site_label
_atom_site_type_symbol
_atom_site_fract_x
_atom_site_fract_y
_atom_site_fract_z
Ag1 Ag 0.000 0.000 0.000
B1 B 0.000 0.000 0.500
Rh1 Rh 0.162 0.250 0.625
```

---

2.
The following is a PBE calculation of crystalline AgBRh2 at its relaxed geometry, from Alexandria via LeMat-Bulk.

## Properties
As for the total magnetization: 0.000 μB/atom. The calculation puts the formation energy at 0.00 eV per atom. The density of states at the Fermi level comes out at 0.92 states/eV per atom.

```
data_AgBRh2
_cell_length_a 2.734
_cell_length_b 2.734
_cell_length_c 6.935
_cell_angle_alpha 90.00
_cell_angle_beta 90.00
_cell_angle_gamma 90.00
_symmetry_space_group_name_H-M 'P 4/m m m'
_symmetry_Int_Tables_number 123
_symmetry_space_group_name_Hall '-P 4 2'
loop_
_atom_site_label
_atom_site_type_symbol
_atom_site_fract_x
_atom_site_fract_y
_atom_site_fract_z
Ag1 Ag 0.000 0.000 0.000
B1 B 0.000 0.000 0.500
Rh1 Rh 0.500 0.500 0.315
```

---

3.
The following is a PBE calculation of crystalline Sc2AgB2Rh5 at its relaxed geometry, from Alexandria via LeMat-Bulk.

## Properties
As for the total magnetization: 0.000 μB/atom. The calculation puts the formation energy at -0.66 eV per atom. The density of states at the Fermi level comes out at 0.55 states/eV per atom.

```
data_Sc2AgB2Rh5
_cell_length_a 9.437
_cell_length_b 9.437
_cell_length_c 3.133
_cell_angle_alpha 90.00
_cell_angle_beta 90.00
_cell_angle_gamma 90.00
_symmetry_space_group_name_H-M 'P 4/m b m'
_symmetry_Int_Tables_number 127
_symmetry_space_group_name_Hall '-P 4 2ab'
loop_
_atom_site_label
_atom_site_type_symbol
_atom_site_fract_x
_atom_site_fract_y
_atom_site_fract_z
Sc1 Sc 0.176 0.324 0.000
Ag1 Ag 0.000 0.000 0.000
B1 B 0.125 0.625 0.000
Rh1 Rh 0.000 0.500 0.500
Rh2 Rh 0.072 0.776 0.500
```

---

4.
The following is a PBE calculation of crystalline AgBRh2Se at its relaxed geometry, from Alexandria via LeMat-Bulk.

## Properties
As for the total magnetization: 0.000 μB/atom. The uncorrected formation energy is 1.1 eV per formula unit. The density of states at the Fermi level comes out at 0.78 states/eV per atom.

```
data_AgBRh2Se
_cell_length_a 4.170
_cell_length_b 4.170
_cell_length_c 4.356
_cell_angle_alpha 90.00
_cell_angle_beta 90.00
_cell_angle_gamma 90.00
_symmetry_space_group_name_H-M 'P 4/m m m'
_symmetry_Int_Tables_number 123
_symmetry_space_group_name_Hall '-P 4 2'
loop_
_atom_site_label
_atom_site_type_symbol
_atom_site_fract_x
_atom_site_fract_y
_atom_site_fract_z
Ag1 Ag 0.000 0.000 0.000
B1 B 0.000 0.000 0.500
Rh1 Rh 0.000 0.500 0.500
Se1 Se 0.500 0.500 0.000
```

---

5.
The following is a PBE calculation of crystalline Sm2AgB2Rh5 at its relaxed geometry, from Alexandria via LeMat-Bulk.

## Properties
As for the total magnetization: 0.000 μB/atom. The calculation puts the formation energy at -0.57 eV per atom. The density of states at the Fermi level comes out at 0.35 states/eV per atom.

```
data_Sm2AgB2Rh5
_cell_length_a 9.709
_cell_length_b 9.709
_cell_length_c 3.250
_cell_angle_alpha 90.00
_cell_angle_beta 90.00
_cell_angle_gamma 90.00
_symmetry_space_group_name_H-M 'P 4/m b m'
_symmetry_Int_Tables_number 127
_symmetry_space_group_name_Hall '-P 4 2ab'
loop_
_atom_site_label
_atom_site_type_symbol
_atom_site_fract_x
_atom_site_fract_y
_atom_site_fract_z
Sm1 Sm 0.177 0.323 0.000
Ag1 Ag 0.000 0.000 0.000
B1 B 0.122 0.622 0.000
Rh1 Rh 0.000 0.500 0.500
Rh2 Rh 0.070 0.772 0.500
```

---

6.
The following is a PBE calculation of crystalline AgSn2B2Rh5 at its relaxed geometry, from Alexandria via LeMat-Bulk.

## Properties
As for the total magnetization: 0.000 μB/atom. The calculation puts the formation energy at -0.21 eV per atom. The density of states at the Fermi level comes out at 0.41 states/eV per atom.

```
data_AgSn2B2Rh5
_cell_length_a 9.721
_cell_length_b 9.721
_cell_length_c 3.056
_cell_angle_alpha 90.00
_cell_angle_beta 90.00
_cell_angle_gamma 90.00
_symmetry_space_group_name_H-M 'P 4/m b m'
_symmetry_Int_Tables_number 127
_symmetry_space_group_name_Hall '-P 4 2ab'
loop_
_atom_site_label
_atom_site_type_symbol
_atom_site_fract_x
_atom_site_fract_y
_atom_site_fract_z
Ag1 Ag 0.000 0.000 0.000
Sn1 Sn 0.181 0.319 0.000
B1 B 0.122 0.622 0.000
Rh1 Rh 0.000 0.500 0.500
Rh2 Rh 0.068 0.771 0.500
```